# ZrCr2InPb (PBE, relaxed)
# - magnetic moment (μB/f.u.) = 6.48
# - energy relative to the elements (eV per atom) = 1.22
data_ZrCr2InPb
_chemical_formula_sum 'Zr1 Cr2 In1 Pb1'
_space_group_name_H-M_alt 'P 4/m m m'
_space_group_IT_number 123
_space_group_name_Hall '-P 4 2'
_cell_length_a 5.0982
_cell_length_b 5.0982
_cell_length_c 5.6689
_cell_angle_alpha 90.00
_cell_angle_beta 90.00
_cell_angle_gamma 90.00
loop_
_atom_site_label
_atom_site_fract_x
_atom_site_fract_y
_atom_site_fract_z
Zr1 0.0000 0.0000 0.0000
Cr1 0.0000 0.5000 0.0000
In1 0.0000 0.0000 0.5000
Pb1 0.5000 0.5000 0.5000

# K4FeNi (PBE, relaxed)
# - magnetic moment (μB/f.u.) = 4.06
# - energy relative to the elements (eV per atom) = 1.22
data_K4FeNi
_chemical_formula_sum 'K16 Fe4 Ni4'
_space_group_name_H-M_alt 'F -4 3 m'
_space_group_IT_number 216
_space_group_name_Hall 'F -4 2 3'
_cell_length_a 9.9720
_cell_length_b 9.9720
_cell_length_c 9.9720
_cell_angle_alpha 90.00
_cell_angle_beta 90.00
_cell_angle_gamma 90.00
loop_
_atom_site_label
_atom_site_fract_x
_atom_site_fract_y
_atom_site_fract_z
K1 0.1247 0.1247 0.1247
Fe1 0.0000 0.0000 0.5000
Ni1 0.2500 0.2500 0.7500

What did the first record say?
# ZrCr2InPb (PBE, relaxed)
# - magnetic moment (μB/f.u.) = 6.48
# - energy relative to the elements (eV per atom) = 1.22
data_ZrCr2InPb
_chemical_formula_sum 'Zr1 Cr2 In1 Pb1'
_space_group_name_H-M_alt 'P 4/m m m'
_space_group_IT_number 123
_space_group_name_Hall '-P 4 2'
_cell_length_a 5.0982
_cell_length_b 5.0982
_cell_length_c 5.6689
_cell_angle_alpha 90.00
_cell_angle_beta 90.00
_cell_angle_gamma 90.00
loop_
_atom_site_label
_atom_site_fract_x
_atom_site_fract_y
_atom_site_fract_z
Zr1 0.0000 0.0000 0.0000
Cr1 0.0000 0.5000 0.0000
In1 0.0000 0.0000 0.5000
Pb1 0.5000 0.5000 0.5000